12
Lattice="4.897 -3.158 0.000 4.897 3.158 0.000 -0.196 0.000 4.877" Properties=species:S:1:pos:R:3 comment="Mn2OF3 | the Alexandria database | GGA+U | relaxed" spacegroup="No. 12" polymorph_energy_mev_per_atom=38 pbc="T T T"
Mn 0.000 0.000 0.000
Mn 2.350 1.579 2.438
Mn 2.350 -1.579 2.438
Mn 4.897 0.000 0.000
O 1.530 0.000 1.570
O 8.067 0.000 3.307
F 3.861 1.582 0.984
F 5.736 1.582 3.893
F 3.318 0.000 3.391
F 6.279 0.000 1.486
F 3.861 -1.582 0.984
F 5.736 -1.582 3.893